No. 1
First-principles (PBE-GGA) data for crystalline KPbW at its relaxed geometry, as listed in the Alexandria database. Values from VASP.

Cell and atoms, written as Quantum ESPRESSO input:
```
&SYSTEM
  ibrav = 0, nat = 3, ntyp = 3
/
ATOMIC_SPECIES
Pb 207.20 Pb.upf
K 39.10 K.upf
W 183.84 W.upf
ATOMIC_POSITIONS angstrom
Pb -1.187 -2.416 2.397
K 1.330 -6.968 4.562
W -0.561 -5.319 2.133
CELL_PARAMETERS angstrom
-1.931 1.108 2.255
-1.167 -1.766 -2.358
1.340 -7.022 4.597
```

Calculated values
Fermi-level density of states in states/eV/cell: 1.9
Total DFT energy (no corrections) in eV/atom: -4.846
Energy relative to the elements in kJ/mol of atoms: 103.6
Polymorph energy (0 for the lowest one) in meV per atom: 47

---

No. 2
First-principles (PBE-GGA) data for crystalline K2SmPuO4 at its relaxed geometry, as listed in the Alexandria database. Values from VASP.

Cell and atoms, written as Quantum ESPRESSO input:
```
&SYSTEM
  ibrav = 0, nat = 8, ntyp = 4
/
ATOMIC_SPECIES
K 39.10 K.upf
Pu 244.00 Pu.upf
O 16.00 O.upf
Sm 150.36 Sm.upf
ATOMIC_POSITIONS angstrom
K 0.240 2.797 2.504
Pu -1.143 -2.212 2.578
O 1.091 -2.926 2.931
O 1.775 0.229 5.956
Sm 0.000 0.000 0.000
K 2.011 -0.247 3.167
O -0.668 0.109 2.293
O 2.931 2.431 3.402
CELL_PARAMETERS angstrom
-2.914 0.833 1.916
0.628 -5.257 3.240
3.394 4.762 3.093
```

Calculated values
Raw formation energy in eV per atom: -2.5104
Fermi-level density of states in states/eV/cell: 5.1
Total DFT energy (no corrections) in eV/atom: -7.645

---

No. 3
First-principles (PBE-GGA) data for crystalline HoTm5Tl5 at its relaxed geometry, as listed in the Alexandria database. Values from VASP.

Cell and atoms, written as Quantum ESPRESSO input:
```
&SYSTEM
  ibrav = 0, nat = 11, ntyp = 3
/
ATOMIC_SPECIES
Tl 204.38 Tl.upf
Tm 168.93 Tm.upf
Ho 164.93 Ho.upf
ATOMIC_POSITIONS angstrom
Tl 2.905 4.612 2.430
Tm 2.905 0.985 6.541
Tm 0.000 4.995 1.172
Tm 2.905 1.294 3.001
Tl 2.905 3.813 5.502
Tm 0.000 -0.979 3.388
Tl 0.000 2.167 2.211
Ho 0.000 0.000 0.000
Tl 0.000 1.368 5.283
Tl 2.905 0.000 0.000
Tm 0.000 4.686 4.712
CELL_PARAMETERS angstrom
5.809 0.000 0.000
-2.905 7.939 0.936
0.000 -1.959 6.777
```

Calculated values
Fermi-level density of states in states/eV/cell: 9.2
Total DFT energy (no corrections) in eV/atom: -3.590
Energy relative to the elements in kJ/mol of atoms: -6.4

---

No. 4
First-principles (PBE-GGA) data for crystalline SrCo3C at its relaxed geometry, as listed in the Alexandria database. Values from VASP.

Cell and atoms, written as Quantum ESPRESSO input:
```
&SYSTEM
  ibrav = 0, nat = 5, ntyp = 3
/
ATOMIC_SPECIES
Co 58.93 Co.upf
C 12.01 C.upf
Sr 87.62 Sr.upf
ATOMIC_POSITIONS angstrom
Co 0.000 0.000 2.348
Co 0.000 2.348 0.000
Co 2.348 0.000 0.000
C 2.348 2.348 2.348
Sr 0.000 0.000 0.000
CELL_PARAMETERS angstrom
4.697 0.000 0.000
0.000 4.697 0.000
0.000 0.000 4.697
```

Calculated values
Fermi-level density of states in states/eV/cell: 13.3
Total DFT energy (no corrections) in eV/atom: -2.991
Energy relative to the elements in kJ/mol of atoms: 333.3
Polymorph energy (0 for the lowest one) in meV per atom: 3098

---

No. 5
First-principles (PBE-GGA) data for crystalline Li2Mg4TlIn2 at its relaxed geometry, as listed in the Alexandria database. Values from VASP.

Cell and atoms, written as Quantum ESPRESSO input:
```
&SYSTEM
  ibrav = 0, nat = 9, ntyp = 4
/
ATOMIC_SPECIES
In 114.82 In.upf
Tl 204.38 Tl.upf
Mg 24.30 Mg.upf
Li 6.94 Li.upf
ATOMIC_POSITIONS angstrom
In -5.217 -0.567 1.693
Tl 0.000 0.000 0.000
Mg -2.564 -1.801 0.784
Mg -2.751 1.250 0.901
Mg -5.418 -2.001 -1.102
In -2.953 -0.185 -1.894
Li -3.276 2.849 -1.731
Li -4.893 -3.601 1.530
Mg -5.605 1.049 -0.985
CELL_PARAMETERS angstrom
-2.961 4.269 1.027
-1.005 0.122 -5.334
-4.204 -5.144 4.106
```

Calculated values
Fermi-level density of states in states/eV/cell: 2.1
Total DFT energy (no corrections) in eV/atom: -2.133
Energy relative to the elements in kJ/mol of atoms: -12.3

---

No. 6
First-principles (PBE-GGA) data for crystalline Ce2CuCl at its relaxed geometry, as listed in the Alexandria database. Values from VASP.

Cell and atoms, written as Quantum ESPRESSO input:
```
&SYSTEM
  ibrav = 0, nat = 4, ntyp = 3
/
ATOMIC_SPECIES
Ce 140.12 Ce.upf
Cl 35.45 Cl.upf
Cu 63.55 Cu.upf
ATOMIC_POSITIONS angstrom
Ce -1.698 1.923 6.295
Cl -3.450 -0.111 4.815
Ce -1.726 -0.088 2.344
Cu -3.477 -2.013 1.078
CELL_PARAMETERS angstrom
-3.596 -0.174 0.114
-1.619 -2.863 1.468
-1.685 2.844 8.106
```

Calculated values
Raw formation energy in eV per atom: -0.5720
Fermi-level density of states in states/eV/cell: 10.5
Total DFT energy (no corrections) in eV/atom: -5.025

---

No. 7
First-principles (PBE-GGA) data for crystalline Ta2NbAl at its relaxed geometry, as listed in the Alexandria database. Values from VASP.

Cell and atoms, written as Quantum ESPRESSO input:
```
&SYSTEM
  ibrav = 0, nat = 4, ntyp = 3
/
ATOMIC_SPECIES
Ta 180.95 Ta.upf
Nb 92.91 Nb.upf
Al 26.98 Al.upf
ATOMIC_POSITIONS angstrom
Ta 0.321 -7.610 -1.290
Nb 1.601 -3.765 1.000
Ta 2.495 -6.279 0.041
Al -0.566 -5.074 -0.342
CELL_PARAMETERS angstrom
0.902 -1.518 2.214
-4.335 -2.616 -2.682
3.946 -3.742 -0.569
```

Calculated values
Fermi-level density of states in states/eV/cell: 3.6
Total DFT energy (no corrections) in eV/atom: -9.478
Energy relative to the elements in kJ/mol of atoms: -9.6

---

No. 8
First-principles (PBE-GGA) data for crystalline MgTl2Ge2S6 at its relaxed geometry, as listed in the Alexandria database. Values from VASP.

Cell and atoms, written as Quantum ESPRESSO input:
```
&SYSTEM
  ibrav = 0, nat = 11, ntyp = 4
/
ATOMIC_SPECIES
S 32.06 S.upf
Tl 204.38 Tl.upf
Ge 72.64 Ge.upf
Mg 24.30 Mg.upf
ATOMIC_POSITIONS angstrom
S -0.322 7.973 0.782
Tl -3.947 12.216 -1.922
Tl -0.825 4.671 -0.117
Ge -3.440 7.156 -2.145
S -1.535 6.670 -2.983
Ge -1.332 9.731 0.106
S -3.991 6.304 -0.265
S -4.450 8.914 -2.821
S -0.781 10.583 -1.774
Mg 0.000 0.000 0.000
S -3.237 10.217 0.944
CELL_PARAMETERS angstrom
-0.870 4.955 -4.853
-5.533 4.260 0.308
1.631 7.672 2.506
```

Calculated values
Raw formation energy in eV per atom: -0.3852
Total DFT energy (no corrections) in eV/atom: -4.051